1.
Compound: Cd6Hg3Pb
Source: Alexandria via LeMat-Bulk
Functional: PBE-GGA
Structure: relaxed

a = 4.833 Å, b = 10.363 Å, c = 11.355 Å
α = 90.00°, β = 114.76°, γ = 90.00°
Sites, in units of the cell vectors:
Cd 0.053 0.179 0.051
Cd 0.053 0.321 0.551
Cd 0.258 0.679 0.262
Cd 0.258 0.821 0.762
Cd 0.419 0.213 0.416
Cd 0.419 0.287 0.916
Cd 0.581 0.713 0.084
Cd 0.581 0.787 0.584
Cd 0.742 0.179 0.238
Cd 0.742 0.321 0.738
Cd 0.947 0.679 0.449
Cd 0.947 0.821 0.949
Hg 0.273 0.542 0.768
Hg 0.273 0.958 0.268
Hg 0.500 0.000 0.000
Hg 0.500 0.500 0.500
Hg 0.727 0.042 0.732
Hg 0.727 0.458 0.232
Pb 0.000 0.000 0.500
Pb 0.000 0.500 0.000

Results
DFT total energy	-0.9513	eV/atom
E above lowest polymorph	6	meV/atom


2.
Compound: LiTm2UN4
Source: Alexandria via LeMat-Bulk
Functional: PBE-GGA
Structure: relaxed

a = 5.679 Å, b = 3.450 Å, c = 5.761 Å
α = 90.00°, β = 106.22°, γ = 90.00°
Sites, in units of the cell vectors:
Li 0.000 0.000 0.000
Tm 0.000 0.500 0.500
Tm 0.500 0.000 0.500
U 0.500 0.500 0.000
N 0.249 0.000 0.749
N 0.291 0.500 0.248
N 0.709 0.500 0.752
N 0.751 0.000 0.251

Results
energy relative to the elements, uncorrected	-11.18	eV/f.u.
DFT total energy	-8.3285	eV/atom


3.
Compound: La5AuCl4
Source: Alexandria via LeMat-Bulk
Functional: PBE-GGA
Structure: relaxed

a = 11.057 Å, b = 11.057 Å, c = 11.057 Å
α = 157.73°, β = 148.82°, γ = 38.65°
Sites, in units of the cell vectors:
La 0.000 0.000 0.000
La 0.198 0.198 0.000
La 0.395 0.395 0.000
La 0.605 0.605 0.000
La 0.802 0.802 0.000
Au 0.500 0.000 0.500
Cl 0.099 0.599 0.500
Cl 0.296 0.796 0.500
Cl 0.704 0.204 0.500
Cl 0.901 0.401 0.500

Results
energy relative to the elements, uncorrected	-13.99	eV/f.u.
DFT total energy	-4.9290	eV/atom


4.
Compound: Ga2PbF
Source: Alexandria via LeMat-Bulk
Functional: PBE-GGA
Structure: relaxed

a = 4.849 Å, b = 4.849 Å, c = 4.849 Å
α = 60.00°, β = 60.00°, γ = 60.00°
Sites, in units of the cell vectors:
Ga 0.250 0.250 0.250
Ga 0.750 0.750 0.750
Pb 0.000 0.000 0.000
F 0.500 0.500 0.500

Results
energy relative to the elements, uncorrected	-1.86	eV/f.u.
DFT total energy	-3.3731	eV/atom
E above lowest polymorph	84	meV/atom